VASP calculation (PBE with a Hubbard U) on crystalline PaMn2AgO6 at its relaxed geometry.

Summary:
Raw total energy = -76.386 eV for the cell shown

Cell lengths 5.4931, 5.4930, 5.8374 Å; angles 61.98, 61.98, 59.98 degrees
Site moments in Bohr magnetons follow the coordinates.
Fractional coordinates of all 10 atoms:
Pa (0.3117, 0.3117, 0.0648)  0.10
Mn (0.5237, 0.5237, 0.4295)  4.50
Mn (0.0098, 0.0098, 0.9707)  3.51
Ag (0.7844, 0.7845, 0.6463)  -0.05
O (0.6518, 0.2436, 0.2090)  -0.04
O (0.2437, 0.8957, 0.2089)  -0.04
O (0.8958, 0.6520, 0.2090)  -0.04
O (0.3334, 0.7414, 0.7590)  -0.06
O (0.7415, 0.1659, 0.7589)  -0.06
O (0.1656, 0.3333, 0.7591)  -0.06